Here is crystalline CaCdSb at its relaxed geometry from the Alexandria database. Energies are from PBE-GGA.

Structure (CIF):
```
data_CaCdSb
_chemical_formula_sum 'Ca4 Cd4 Sb4'
_cell_length_a 10.893
_cell_length_b 4.657
_cell_length_c 7.291
_cell_angle_alpha 90.00
_cell_angle_beta 100.83
_cell_angle_gamma 90.00
_space_group_name_H-M_alt 'C 1 2/m 1'
_space_group_IT_number 12
_space_group_name_Hall '-C 2y'
loop_
_atom_site_label
_atom_site_type_symbol
_atom_site_fract_x
_atom_site_fract_y
_atom_site_fract_z
Ca1 Ca 0.119 0.000 0.277
Cd1 Cd 0.113 0.500 0.932
Sb1 Sb 0.174 0.000 0.721
```

Properties
Magnetic moment   0.000 μB/cell
Energy   -2.9580 eV per atom
Uncorrected formation energy   -0.61 eV/atom